Entry 1:
The following is a DFT calculation (GGA-PBE) of a relaxed DyZrCSe crystal.

Structure (CIF):
```
data_DyZrCSe
_chemical_formula_sum 'Dy2 Zr2 C2 Se2'
_cell_length_a 3.6043
_cell_length_b 3.6043
_cell_length_c 13.0377
_cell_angle_alpha 90.00
_cell_angle_beta 90.00
_cell_angle_gamma 120.00
_space_group_name_H-M_alt 'P -3 m 1'
_space_group_IT_number 164
_space_group_name_Hall '-P 3 2"'
loop_
_atom_site_label
_atom_site_fract_x
_atom_site_fract_y
_atom_site_fract_z
Dy1 0.3333 0.6667 0.1030
Zr1 0.3333 0.6667 0.4083
C1 0.0000 0.0000 0.0000
C2 0.0000 0.0000 0.5000
Se1 0.3333 0.6667 0.7359
```

Output
spin magnetization	0.001	μB/atom
energy above the most stable polymorph in this dataset	5.1	kJ/mol of formula units
raw total energy	-7.60	eV/atom
ρ	7.80	g cm⁻³
calculated volume	18.3	A^3/atom

***

Entry 2:
The following is a DFT calculation (GGA-PBE) of a relaxed AlPPt5 crystal.

Structure (CIF):
```
data_AlPPt5
_chemical_formula_sum 'Al1 P1 Pt5'
_cell_length_a 3.9489
_cell_length_b 3.9489
_cell_length_c 6.8800
_cell_angle_alpha 90.00
_cell_angle_beta 90.00
_cell_angle_gamma 90.00
_space_group_name_H-M_alt 'P 4/m m m'
_space_group_IT_number 123
_space_group_name_Hall '-P 4 2'
loop_
_atom_site_label
_atom_site_fract_x
_atom_site_fract_y
_atom_site_fract_z
Al1 0.0000 0.0000 0.0000
P1 0.5000 0.5000 0.5000
Pt1 0.0000 0.5000 0.2867
Pt2 0.5000 0.5000 0.0000
```

Output
spin magnetization	0.000	μB/atom
raw total energy	-6.25	eV/atom
ρ	15.99	g cm⁻³
calculated volume	15.3	A^3/atom

***

Entry 3:
The following is a DFT calculation (GGA-PBE) of a relaxed ErI crystal.

Structure (CIF):
```
data_ErI
_chemical_formula_sum 'Er4 I4'
_cell_length_a 6.1287
_cell_length_b 6.1287
_cell_length_c 6.1287
_cell_angle_alpha 90.00
_cell_angle_beta 90.00
_cell_angle_gamma 90.00
_space_group_name_H-M_alt 'F m -3 m'
_space_group_IT_number 225
_space_group_name_Hall '-F 4 2 3'
loop_
_atom_site_label
_atom_site_fract_x
_atom_site_fract_y
_atom_site_fract_z
Er1 0.0000 0.0000 0.0000
I1 0.0000 0.0000 0.5000
```

Output
spin magnetization	0.000	μB/atom
raw total energy	-3.31	eV/atom
ρ	8.49	g cm⁻³
calculated volume	28.8	A^3/atom

***

Entry 4:
The following is a DFT calculation (GGA-PBE) of a relaxed LaAlPdPt crystal.

Structure (CIF):
```
data_LaAlPdPt
_chemical_formula_sum 'La2 Al2 Pd2 Pt2'
_cell_length_a 4.4081
_cell_length_b 4.4081
_cell_length_c 9.8999
_cell_angle_alpha 90.00
_cell_angle_beta 90.00
_cell_angle_gamma 120.00
_space_group_name_H-M_alt 'P -6 m 2'
_space_group_IT_number 187
_space_group_name_Hall 'P -6 2'
loop_
_atom_site_label
_atom_site_fract_x
_atom_site_fract_y
_atom_site_fract_z
La1 0.0000 0.0000 0.0000
La2 0.3333 0.6667 0.5000
Al1 0.6667 0.3333 0.2558
Pd1 0.3333 0.6667 0.1744
Pt1 0.0000 0.0000 0.3118
```

Output
spin magnetization	0.001	μB/atom
energy above the most stable polymorph in this dataset	0.0	kJ/mol of formula units
raw total energy	-6.00	eV/atom
ρ	9.32	g cm⁻³
calculated volume	20.8	A^3/atom

***

Entry 5:
The following is a DFT calculation (GGA-PBE) of a relaxed Hf3Tc2Au crystal.

Structure (CIF):
```
data_Hf3Tc2Au
_chemical_formula_sum 'Hf3 Tc2 Au1'
_cell_length_a 3.3151
_cell_length_b 3.3151
_cell_length_c 9.8673
_cell_angle_alpha 90.00
_cell_angle_beta 90.00
_cell_angle_gamma 90.00
_space_group_name_H-M_alt 'P 4/m m m'
_space_group_IT_number 123
_space_group_name_Hall '-P 4 2'
loop_
_atom_site_label
_atom_site_fract_x
_atom_site_fract_y
_atom_site_fract_z
Hf1 0.0000 0.0000 0.0000
Hf2 0.0000 0.0000 0.3179
Tc1 0.5000 0.5000 0.1681
Au1 0.5000 0.5000 0.5000
```

Output
spin magnetization	0.000	μB/atom
raw total energy	-9.53	eV/atom
formation energy from the elements	-0.5585	eV/atom
ρ	14.22	g cm⁻³
calculated volume	18.1	A^3/atom

***

Entry 6:
The following is a DFT calculation (GGA-PBE) of a relaxed LaNi2SbP crystal.

Structure (CIF):
```
data_LaNi2SbP
_chemical_formula_sum 'La2 Ni4 Sb2 P2'
_cell_length_a 4.3076
_cell_length_b 4.3076
_cell_length_c 9.6620
_cell_angle_alpha 90.00
_cell_angle_beta 90.00
_cell_angle_gamma 90.00
_space_group_name_H-M_alt 'P 4/n m m'
_space_group_IT_number 129
loop_
_space_group_symop_operation_xyz
'x,y,z'
'-x,-y,-z'
'-y+1/2,x,z'
'y+1/2,-x,-z'
'-x+1/2,-y+1/2,z'
'x+1/2,y+1/2,-z'
'y,-x+1/2,z'
'-y,x+1/2,-z'
'x+1/2,-y,-z'
'-x+1/2,y,z'
'-y,-x,-z'
'y,x,z'
'-x,y+1/2,-z'
'x,-y+1/2,z'
'y+1/2,x+1/2,-z'
'-y+1/2,-x+1/2,z'
loop_
_atom_site_label
_atom_site_fract_x
_atom_site_fract_y
_atom_site_fract_z
La1 0.2500 0.2500 0.2307
Ni1 0.2500 0.2500 0.9077
Ni2 0.2500 0.7500 0.5000
Sb1 0.2500 0.2500 0.6377
P1 0.2500 0.7500 0.0000
```

Output
spin magnetization	0.001	μB/atom
energy above the most stable polymorph in this dataset	0.0	kJ/mol of formula units
raw total energy	-5.98	eV/atom
ρ	7.58	g cm⁻³
calculated volume	17.9	A^3/atom